PBE MnZnGaPd, relaxed; Fermi-level density of states = 2.321 states/eV per cell; space group = F-43m; energy of formation from the pure elements = -271 meV/atom
1.0
4.338 0.000 0.000
2.169 3.756 0.000
2.169 1.252 3.542
Ga Pd Mn Zn
1 1 1 1
Direct
0.250 0.250 0.250
0.500 0.500 0.500
0.000 0.000 0.000
0.750 0.750 0.750

---

PBE PmMnGa2, relaxed; Fermi-level density of states = 3.067 states/eV per cell; space group = P4/mmm; energy of formation from the pure elements = -253 meV/atom
1.0
-1.003 -1.101 -2.988
2.992 -1.397 -0.490
-2.242 -5.819 2.896
Mn Ga Pm
1 2 1
Direct
0.500 0.500 0.000
0.000 0.000 0.804
0.000 0.000 0.196
0.500 0.500 0.500

---

PBE PmMnGa3, relaxed; ΔE to the lowest computed polymorph = 0.076 eV per atom; Fermi-level density of states = 2.379 states/eV per cell; space group = Pm-3m; energy of formation from the pure elements = -340 meV/atom
1.0
-1.174 3.016 -3.270
-0.048 -3.390 -3.110
-4.448 -0.759 0.896
Ga Pm Mn
3 1 1
Direct
0.500 0.000 0.000
0.000 0.500 0.000
0.000 0.000 0.500
0.500 0.500 0.500
0.000 0.000 0.000

---

PBE Pm2MnGa12, relaxed; Fermi-level density of states = 8.614 states/eV per cell; space group = P4/nbm; energy of formation from the pure elements = -323 meV/atom
1.0
-1.283 -4.472 3.840
5.119 -2.794 -1.543
7.671 7.692 11.522
Ga Pm Mn
24 4 2
Direct
0.668 0.168 0.432
0.668 0.832 0.568
0.000 0.000 0.808
0.500 0.500 0.347
0.750 0.750 0.089
0.000 0.000 0.653
0.168 0.332 0.432
0.250 0.750 0.089
0.250 0.750 0.911
0.500 0.500 0.808
0.832 0.668 0.432
0.250 0.250 0.089
0.000 0.000 0.192
0.750 0.750 0.911
0.500 0.500 0.653
0.500 0.500 0.192
0.750 0.250 0.911
0.168 0.668 0.568
0.250 0.250 0.911
0.332 0.832 0.432
0.332 0.168 0.568
0.000 0.000 0.347
0.832 0.332 0.568
0.750 0.250 0.089
0.000 0.500 0.246
0.500 0.000 0.754
0.000 0.500 0.754
0.500 0.000 0.246
0.500 0.000 0.000
0.000 0.500 0.000

---

PBE PmMnGa3, relaxed; ΔE to the lowest computed polymorph = 0.000 eV per atom; Fermi-level density of states = 6.301 states/eV per cell; space group = P6_3/mmc; energy of formation from the pure elements = -416 meV/atom
1.0
5.527 0.000 0.000
0.000 6.236 0.000
0.000 -3.118 5.401
Ga Pm Mn
6 2 2
Direct
0.750 0.811 0.189
0.750 0.378 0.189
0.750 0.811 0.622
0.250 0.189 0.378
0.250 0.622 0.811
0.250 0.189 0.811
0.750 0.333 0.667
0.250 0.667 0.333
0.500 0.000 0.000
0.000 0.000 0.000

---

PBE Pm2MnGaPt6, relaxed; Fermi-level density of states = 4.952 states/eV per cell; space group = R-3m; energy of formation from the pure elements = -713 meV/atom
1.0
5.628 0.040 0.006
-0.061 8.258 1.996
2.770 5.409 5.938
Pt Ga Pm Mn
6 1 2 1
Direct
0.251 0.249 0.998
0.249 0.751 0.002
0.751 0.249 0.998
0.749 0.751 0.002
0.249 0.251 0.501
0.751 0.749 0.499
0.500 0.500 0.000
0.703 0.297 0.594
0.297 0.703 0.406
0.000 0.000 0.000